(1)
# BiTe2Pb2

A geometry-optimized BiTe2Pb2 structure (PBE, Alexandria via LeMat-Bulk).

The calculation puts the energy above the most stable polymorph in this dataset at 0.00 eV per formula unit. The uncorrected formation energy is -0.06 eV per atom.

The structure belongs to space group P4/mbm (No. 127); the cell edges are 8.889, 8.889 and 4.202 Å and the angles 90.00°, 90.00° and 90.00°. Symmetry generates all atoms from Bi at (0.000, 0.000, 0.000), Te at (0.153, 0.347, 0.000) and Pb at (0.155, 0.655, 0.500).

---

(2)
# Y2Cu12Ni3Ge

A geometry-optimized Y2Cu12Ni3Ge structure (PBE, Alexandria via LeMat-Bulk).

Its energy of formation is 0.008 eV/atom.

The structure belongs to space group R-3m (No. 166, hexagonal axes); the cell edges are 8.4654, 8.4654 and 12.2930 Å and the angles 90.00°, 90.00° and 120.00°. Symmetry generates all atoms from Y at (0.0000, 0.0000, 0.2468), Cu at (0.0168, 0.5084, 0.2082), Cu at (0.0528, 0.5264, 0.5998), Ni at (0.0000, 0.5000, 0.0000) and Ge at (0.0000, 0.0000, 0.5000).

---

(3)
# ZrAsI2N

A geometry-optimized ZrAsI2N structure (PBE, Alexandria via LeMat-Bulk).

The calculation puts the energy above the most stable polymorph in this dataset at 2.69 eV per formula unit. The uncorrected formation energy is 0.76 eV per atom.

The structure belongs to space group P4/mmm (No. 123); the cell edges are 5.883, 5.883 and 3.639 Å and the angles 90.00°, 90.00° and 90.00°. Symmetry generates all atoms from Zr at (0.000, 0.000, 0.000), As at (0.500, 0.500, 0.500), I at (0.000, 0.500, 0.500) and N at (0.500, 0.500, 0.000).

---

(4)
# IrRh2

A geometry-optimized IrRh2 structure (PBE, Alexandria via LeMat-Bulk).

The calculation puts the energy above the most stable polymorph in this dataset at 1.08 eV per formula unit. Its energy of formation is 0.347 eV/atom.

The structure belongs to space group I4/mcm (No. 140); the cell edges are 5.956, 5.956 and 5.232 Å and the angles 90.00°, 90.00° and 90.00°. Symmetry generates all atoms from Ir at (0.000, 0.000, 0.250) and Rh at (0.145, 0.355, 0.000).

---

(5)
# BaNaCuHg2

A geometry-optimized BaNaCuHg2 structure (PBE, Alexandria via LeMat-Bulk).

Its energy of formation is -0.131 eV/atom.

The structure belongs to space group P4/mmm (No. 123); the cell edges are 5.242, 5.242 and 5.270 Å and the angles 90.00°, 90.00° and 90.00°. Symmetry generates all atoms from Ba at (0.000, 0.000, 0.000), Na at (0.500, 0.500, 0.000), Cu at (0.500, 0.500, 0.500) and Hg at (0.000, 0.500, 0.500).

---

(6)
# SrLa2Pt

A geometry-optimized SrLa2Pt structure (PBE, Alexandria via LeMat-Bulk).

The calculation puts the energy above the most stable polymorph in this dataset at 0.38 eV per formula unit. Its energy of formation is -0.478 eV/atom.

The structure belongs to space group Cm (No. 8); the cell edges are 12.457, 3.962 and 6.833 Å and the angles 90.00°, 121.89° and 90.00°. Symmetry generates all atoms from Sr at (0.000, 0.000, 0.000), La at (0.173, 0.000, 0.671), La at (0.366, 0.000, 0.374) and Pt at (0.225, 0.500, 0.013).

---

(7)
# CsHgBi3

A geometry-optimized CsHgBi3 structure (PBE, Alexandria via LeMat-Bulk).

The calculation puts the energy above the most stable polymorph in this dataset at 0.16 eV per formula unit. Its energy of formation is -0.140 eV/atom.

The structure belongs to space group Pm (No. 6); the cell edges are 7.389, 7.173 and 7.743 Å and the angles 90.00°, 99.10° and 90.00°. Symmetry generates all atoms from Cs at (0.000, 0.000, 0.000), Cs at (0.398, 0.500, 0.388), Hg at (0.546, 0.000, 0.260), Hg at (0.899, 0.500, 0.186), Bi at (0.301, 0.000, 0.582), Bi at (0.481, 0.270, 0.911), Bi at (0.802, 0.500, 0.801) and Bi at (0.915, 0.219, 0.481).

---

(8)
# ScCuC

A geometry-optimized ScCuC structure (PBE, Alexandria via LeMat-Bulk).

Its energy of formation is 0.002 eV/atom.

The structure belongs to space group R3m (No. 160, hexagonal axes); the cell edges are 3.5713, 3.5713 and 20.7866 Å and the angles 90.00°, 90.00° and 120.00°. Symmetry generates all atoms from Sc at (0.0000, 0.0000, 0.0000), Sc at (0.0000, 0.0000, 0.1667), Cu at (0.0000, 0.0000, 0.4080), Cu at (0.0000, 0.0000, 0.5778), C at (0.0000, 0.0000, 0.7190) and C at (0.0000, 0.0000, 0.8876).

---

(9)
# SnPt3Au

A geometry-optimized SnPt3Au structure (PBE, Alexandria via LeMat-Bulk).

The calculation puts the energy above the most stable polymorph in this dataset at 0.00 eV per formula unit. Its energy of formation is 0.986 eV/atom.

The structure belongs to space group Pm-3m (No. 221); the cell edges are 4.921, 4.921 and 4.921 Å and the angles 90.00°, 90.00° and 90.00°. Symmetry generates all atoms from Sn at (0.000, 0.000, 0.000), Pt at (0.000, 0.000, 0.500) and Au at (0.500, 0.500, 0.500).

---

(10)
# CsZnSb3

A geometry-optimized CsZnSb3 structure (PBE, Alexandria via LeMat-Bulk).

The calculation puts the energy above the most stable polymorph in this dataset at 8.42 eV per formula unit. The uncorrected formation energy is 1.56 eV per atom.

The structure belongs to space group Pm-3m (No. 221); the cell edges are 6.328, 6.328 and 6.328 Å and the angles 90.00°, 90.00° and 90.00°. Symmetry generates all atoms from Cs at (0.000, 0.000, 0.000), Zn at (0.500, 0.500, 0.500) and Sb at (0.000, 0.000, 0.500).

---

(11)
# BaTlCr2

A geometry-optimized BaTlCr2 structure (PBE, Alexandria via LeMat-Bulk).

The calculation puts the energy above the most stable polymorph in this dataset at 2.36 eV per formula unit. Its energy of formation is 0.979 eV/atom.

The structure belongs to space group R-3m (No. 166, hexagonal axes); the cell edges are 3.5802, 3.5802 and 30.0098 Å and the angles 90.00°, 90.00° and 120.00°. Symmetry generates all atoms from Ba at (0.0000, 0.0000, 0.0000), Tl at (0.0000, 0.0000, 0.5000) and Cr at (0.0000, 0.0000, 0.2377).

---

(12)
# U2PaW

A geometry-optimized U2PaW structure (PBE, Alexandria via LeMat-Bulk).

The calculation puts the energy above the most stable polymorph in this dataset at 0.00 eV per formula unit. Its energy of formation is 0.354 eV/atom.

The structure belongs to space group P4/mmm (No. 123); the cell edges are 3.426, 3.426 and 7.231 Å and the angles 90.00°, 90.00° and 90.00°. Symmetry generates all atoms from U at (0.000, 0.000, 0.234), Pa at (0.500, 0.500, 0.500) and W at (0.500, 0.500, 0.000).

---

(13)
# BC3

A geometry-optimized BC3 structure (PBE, Alexandria via LeMat-Bulk).

The calculation puts the energy above the most stable polymorph in this dataset at 0.26 eV per formula unit. Its energy of formation is 0.306 eV/atom.

The structure belongs to space group R-3m (No. 166, hexagonal axes); the cell edges are 5.2466, 5.2466 and 6.2758 Å and the angles 90.00°, 90.00° and 120.00°. Symmetry generates all atoms from B at (0.0000, 0.0000, 0.1546) and C at (0.0098, 0.5049, 0.1283).

---

(14)
# Hg2PbI

A geometry-optimized Hg2PbI structure (PBE, Alexandria via LeMat-Bulk).

The calculation puts the energy above the most stable polymorph in this dataset at 0.00 eV per formula unit. The uncorrected formation energy is -0.06 eV per atom.

The structure belongs to space group P4/mmm (No. 123); the cell edges are 4.114, 4.114 and 7.361 Å and the angles 90.00°, 90.00° and 90.00°. Symmetry generates all atoms from Hg at (0.000, 0.000, 0.232), Pb at (0.500, 0.500, 0.000) and I at (0.500, 0.500, 0.500).

---

(15)
# BaZrPd

A geometry-optimized BaZrPd structure (PBE, Alexandria via LeMat-Bulk).

Its energy of formation is -0.334 eV/atom.

The structure belongs to space group P4/nmm (No. 129, origin choice 2); the cell edges are 4.857, 4.857 and 7.540 Å and the angles 90.00°, 90.00° and 90.00°. Symmetry generates all atoms from Ba at (0.250, 0.250, 0.129), Zr at (0.250, 0.750, 0.500) and Pd at (0.250, 0.250, 0.666).

---

(16)
# Nb2Ga2Rh

A geometry-optimized Nb2Ga2Rh structure (PBE, Alexandria via LeMat-Bulk).

The calculation puts the energy above the most stable polymorph in this dataset at 2.52 eV per formula unit. Its energy of formation is 0.144 eV/atom.

The structure belongs to space group P4/mbm (No. 127); the cell edges are 7.595, 7.595 and 3.013 Å and the angles 90.00°, 90.00° and 90.00°. Symmetry generates all atoms from Nb at (0.125, 0.375, 0.000), Ga at (0.176, 0.676, 0.500) and Rh at (0.000, 0.000, 0.000).

---

(17)
# Sr3Mg2Zn

A geometry-optimized Sr3Mg2Zn structure (PBE, Alexandria via LeMat-Bulk).

Its energy of formation is -0.092 eV/atom.

The structure belongs to space group P4/mmm (No. 123); the cell edges are 4.001, 4.001 and 12.766 Å and the angles 90.00°, 90.00° and 90.00°. Symmetry generates all atoms from Sr at (0.000, 0.000, 0.000), Sr at (0.000, 0.000, 0.351), Mg at (0.500, 0.500, 0.173) and Zn at (0.500, 0.500, 0.500).

---

(18)
# Li2AlSbIr

A geometry-optimized Li2AlSbIr structure (PBE, Alexandria via LeMat-Bulk).

The uncorrected formation energy is 0.15 eV per atom.

The structure belongs to space group P4/mmm (No. 123); the cell edges are 4.659, 4.659 and 4.709 Å and the angles 90.00°, 90.00° and 90.00°. Symmetry generates all atoms from Li at (0.000, 0.500, 0.000), Al at (0.000, 0.000, 0.500), Sb at (0.500, 0.500, 0.500) and Ir at (0.000, 0.000, 0.000).

---

(19)
# TlSiN3

A geometry-optimized TlSiN3 structure (PBE, Alexandria via LeMat-Bulk).

The uncorrected formation energy is 0.92 eV per atom.

The structure belongs to space group Pm-3m (No. 221); the cell edges are 3.724, 3.724 and 3.724 Å and the angles 90.00°, 90.00° and 90.00°. Symmetry generates all atoms from Tl at (0.000, 0.000, 0.000), Si at (0.500, 0.500, 0.500) and N at (0.000, 0.500, 0.500).

---

(20)
# Zn2In2Pd

A geometry-optimized Zn2In2Pd structure (PBE, Alexandria via LeMat-Bulk).

The calculation puts the energy above the most stable polymorph in this dataset at 0.62 eV per formula unit. Its energy of formation is 0.064 eV/atom.

The structure belongs to space group P4/mbm (No. 127); the cell edges are 7.180, 7.180 and 3.993 Å and the angles 90.00°, 90.00° and 90.00°. Symmetry generates all atoms from Zn at (0.145, 0.355, 0.000), In at (0.159, 0.659, 0.500) and Pd at (0.000, 0.000, 0.500).

---

What density values result from the calculations? In sequence: 8.8; 7.8; 5.7; 14.2; 7.2; 6.5; 7.9; 5.2; 12.6; 3.7; 6.7; 17.4; 3.1; 9.8; 6.3; 8.2; 3.1; 5.8; 8.8; 7.5 g cm⁻³.
What M_tot values result from the calculations? In sequence: 0.0; 0.0; 0.0; 0.0; 0.0; 0.0; 0.0; 0.0; 0.0; 0.0; 8.3; 3.0; 0.0; 0.0; 0.0; 0.0; 0.0; 0.0; 0.5; 0.0 μB per formula unit.